*1*
Here is a geometry-optimized HgTePb structure from Alexandria. Energies are from PBE.

Summary:
* symmetry: P3m1 (156)

Geometry as CIF:
```
data_HgTePb
_chemical_formula_sum 'Hg1 Te1 Pb1'
_cell_length_a 5.683
_cell_length_b 5.683
_cell_length_c 3.301
_cell_angle_alpha 90.00
_cell_angle_beta 90.00
_cell_angle_gamma 120.00
_space_group_name_H-M_alt 'P 1'
_space_group_IT_number 1
loop_
_space_group_symop_operation_xyz
'x,y,z'
loop_
_atom_site_label
_atom_site_type_symbol
_atom_site_fract_x
_atom_site_fract_y
_atom_site_fract_z
Hg1 Hg 0.000 0.000 0.003
Pb1 Pb 0.667 0.333 0.498
Te1 Te 0.333 0.667 0.499
```

***

*2*
Here is a geometry-optimized HgTePb structure from Alexandria. Energies are from PBE.

Summary:
* symmetry: F-43m (216)

Geometry as CIF:
```
data_HgTePb
_chemical_formula_sum 'Hg1 Te1 Pb1'
_cell_length_a 5.362
_cell_length_b 5.362
_cell_length_c 5.362
_cell_angle_alpha 60.00
_cell_angle_beta 60.00
_cell_angle_gamma 60.00
_space_group_name_H-M_alt 'P 1'
_space_group_IT_number 1
loop_
_space_group_symop_operation_xyz
'x,y,z'
loop_
_atom_site_label
_atom_site_type_symbol
_atom_site_fract_x
_atom_site_fract_y
_atom_site_fract_z
Hg1 Hg 0.500 0.500 0.500
Pb1 Pb 0.750 0.750 0.750
Te1 Te 0.000 0.000 0.000
```

***

*3*
Here is a geometry-optimized HgTePb structure from Alexandria. Energies are from PBE.

Summary:
* symmetry: Fmm2 (42)

Geometry as CIF:
```
data_HgTePb
_chemical_formula_sum 'Hg1 Te1 Pb1'
_cell_length_a 6.709
_cell_length_b 6.711
_cell_length_c 4.029
_cell_angle_alpha 72.51
_cell_angle_beta 72.56
_cell_angle_gamma 34.94
_space_group_name_H-M_alt 'P 1'
_space_group_IT_number 1
loop_
_space_group_symop_operation_xyz
'x,y,z'
loop_
_atom_site_label
_atom_site_type_symbol
_atom_site_fract_x
_atom_site_fract_y
_atom_site_fract_z
Hg1 Hg 0.004 0.004 0.996
Pb1 Pb 0.310 0.310 0.690
Te1 Te 0.687 0.687 0.313
```

***

The computed energies, referenced to the most stable structure and given in eV/atom, are *1* 0.076; *2* 0.000; *3* 0.036.

***

*1*
Here is a geometry-optimized HgTePb structure from Alexandria. Energies are from PBE.

Summary:
* symmetry: C2/m (12)

Geometry as CIF:
```
data_HgTePb
_chemical_formula_sum 'Hg2 Te2 Pb2'
_cell_length_a 4.654
_cell_length_b 4.654
_cell_length_c 9.753
_cell_angle_alpha 103.63
_cell_angle_beta 103.62
_cell_angle_gamma 89.97
_space_group_name_H-M_alt 'P 1'
_space_group_IT_number 1
loop_
_space_group_symop_operation_xyz
'x,y,z'
loop_
_atom_site_label
_atom_site_type_symbol
_atom_site_fract_x
_atom_site_fract_y
_atom_site_fract_z
Hg1 Hg 0.000 0.500 0.000
Hg2 Hg 0.500 0.000 0.000
Te1 Te 0.669 0.669 0.335
Te2 Te 0.331 0.331 0.665
Pb1 Pb 0.832 0.832 0.667
Pb2 Pb 0.168 0.168 0.333
```

***

*2*
Here is a geometry-optimized HgTePb structure from Alexandria. Energies are from PBE.

Summary:
* symmetry: C2/m (12)

Geometry as CIF:
```
data_HgTePb
_chemical_formula_sum 'Hg2 Te2 Pb2'
_cell_length_a 4.556
_cell_length_b 6.762
_cell_length_c 14.445
_cell_angle_alpha 142.31
_cell_angle_beta 90.00
_cell_angle_gamma 109.69
_space_group_name_H-M_alt 'P 1'
_space_group_IT_number 1
loop_
_space_group_symop_operation_xyz
'x,y,z'
loop_
_atom_site_label
_atom_site_type_symbol
_atom_site_fract_x
_atom_site_fract_y
_atom_site_fract_z
Hg1 Hg 0.772 0.544 0.435
Hg2 Hg 0.228 0.456 0.565
Te1 Te 0.770 0.541 0.148
Te2 Te 0.230 0.459 0.852
Pb1 Pb 0.014 0.027 0.878
Pb2 Pb 0.986 0.973 0.122
```

***

The computed energies, referenced to the most stable structure and given in eV/atom, are *1* 0.000; *2* 0.057.